Density functional theory data (PBE-GGA) for an optimized crystal structure of FeAgOsPd2.

Results
formation enthalpy at 0 K	2.45	eV/atom
size of the total moment	0.42	μB per formula unit

abc: 4.7810 4.7810 4.7955
angles: 90.00 90.00 90.00
Last column: nearest neighbours and their distance in Å.
Space group P4/mmm (No. 123)
One atom of each set of equivalent atoms:
Fe: 0.0000 0.0000 0.0000  4 Os 3.38, 8 Pd 3.39
Ag: 0.5000 0.5000 0.5000  4 Pd 2.39, 2 Os 2.40
Os: 0.5000 0.5000 0.0000  2 Ag 2.40
Pd: 0.0000 0.5000 0.5000  2 Ag 2.39



Density functional theory data (PBE-GGA) for an optimized crystal structure of FeAgOsRh2.

Results
formation enthalpy at 0 K	1.29	eV/atom
energy above the lowest structure with this stoichiometry	0.000	eV per atom
size of the total moment	2.69	μB per formula unit

abc: 4.7200 4.7200 4.5391
angles: 90.00 90.00 90.00
Last column: nearest neighbours and their distance in Å.
Space group P4/mmm (No. 123)
One atom of each set of equivalent atoms:
Fe: 0.0000 0.0000 0.0000  2 Os 2.27
Ag: 0.5000 0.5000 0.0000  8 Rh 3.27, 4 Fe 3.34
Os: 0.0000 0.0000 0.5000  2 Fe 2.27, 4 Rh 2.36
Rh: 0.0000 0.5000 0.5000  2 Os 2.36



Density functional theory data (PBE-GGA) for an optimized crystal structure of FeAgOsRh2.

Results
formation enthalpy at 0 K	2.46	eV/atom
energy above the lowest structure with this stoichiometry	1.170	eV per atom
size of the total moment	1.55	μB per formula unit

abc: 4.7587 4.7587 4.7565
angles: 90.00 90.00 90.00
Last column: nearest neighbours and their distance in Å.
Space group P4/mmm (No. 123)
One atom of each set of equivalent atoms:
Fe: 0.0000 0.0000 0.0000  8 Rh 3.36, 4 Os 3.36
Ag: 0.5000 0.5000 0.5000  2 Os 2.38, 4 Rh 2.38
Os: 0.5000 0.5000 0.0000  2 Ag 2.38
Rh: 0.0000 0.5000 0.5000  2 Ag 2.38



Density functional theory data (PBE-GGA) for an optimized crystal structure of Fe2AgOsW.

Results
formation enthalpy at 0 K	2.43	eV/atom
size of the total moment	4.58	μB per formula unit

abc: 4.4392 4.4392 4.8557
angles: 90.00 90.00 90.00
Last column: nearest neighbours and their distance in Å.
Space group P4/mmm (No. 123)
One atom of each set of equivalent atoms:
Fe: 0.0000 0.5000 0.0000  2 Ag 2.22
Ag: 0.0000 0.0000 0.0000  4 Fe 2.22, 2 Os 2.43
Os: 0.0000 0.0000 0.5000  2 Ag 2.43
W: 0.5000 0.5000 0.5000  4 Os 3.14, 8 Fe 3.29



Density functional theory data (PBE-GGA) for an optimized crystal structure of Fe2AgP.

Results
formation enthalpy at 0 K	0.41	eV/atom
size of the total moment	4.77	μB per formula unit

abc: 6.0002 6.0002 6.0002
angles: 90.00 90.00 90.00
Last column: nearest neighbours and their distance in Å.
Space group F-43m (No. 216)
One atom of each set of equivalent atoms:
Fe: 0.0000 0.0000 0.0000  4 Fe 2.60, 4 P 2.60
Fe: 0.2500 0.2500 0.2500  4 Fe 2.60, 4 Ag 2.60
Ag: 0.0000 0.0000 0.5000  4 Fe 2.60, 4 P 2.60
P: 0.2500 0.2500 0.7500  4 Fe 2.60, 4 Ag 2.60



Density functional theory data (PBE-GGA) for an optimized crystal structure of Fe2AgP.

Results
formation enthalpy at 0 K	0.11	eV/atom
size of the total moment	4.09	μB per formula unit

abc: 2.8339 2.8339 6.8761
angles: 90.00 90.00 90.00
Last column: nearest neighbours and their distance in Å.
Space group P4mm (No. 99)
One atom of each set of equivalent atoms:
Fe: 0.0000 0.0000 0.0000  8 Fe 2.57-2.83, 1 P 2.67, 4 Ag 2.81
Fe: 0.5000 0.5000 0.2334  4 P 2.27
Ag: 0.5000 0.5000 0.7142  4 Fe 2.81, 4 Ag 2.83, 4 P 3.00
P: 0.0000 0.0000 0.3889  4 Fe 2.27



Density functional theory data (PBE-GGA) for an optimized crystal structure of FeAgP2.

Results
formation enthalpy at 0 K	0.47	eV/atom
energy above the lowest structure with this stoichiometry	0.458	eV per atom
size of the total moment	2.34	μB per formula unit

abc: 3.6761 3.6761 8.7557
angles: 90.00 90.00 90.00
Last column: nearest neighbours and their distance in Å.
Space group I-4m2 (No. 119)
One atom of each set of equivalent atoms:
Fe: 0.0000 0.0000 0.0000  8 P 2.60-2.86, 4 Ag 2.86
Ag: 0.0000 0.5000 0.2500  8 P 2.60-2.86, 4 Fe 2.86
P: 0.0000 0.0000 0.5000  4 Fe 2.60, 4 Ag 2.86, 4 P 2.86
P: 0.0000 0.5000 0.7500  4 Ag 2.60, 4 Fe 2.86, 4 P 2.86



Density functional theory data (PBE-GGA) for an optimized crystal structure of FeAgP.

Results
formation enthalpy at 0 K	0.23	eV/atom
energy above the lowest structure with this stoichiometry	0.453	eV per atom
size of the total moment	2.45	μB per formula unit

abc: 5.7292 5.7292 5.7292
angles: 90.00 90.00 90.00
Last column: nearest neighbours and their distance in Å.
Space group F-43m (No. 216)
One atom of each set of equivalent atoms:
Fe: 0.0000 0.0000 0.0000  4 P 2.48
Ag: 0.0000 0.0000 0.5000  4 P 2.48
P: 0.2500 0.2500 0.2500  4 Fe 2.48, 4 Ag 2.48



Density functional theory data (PBE-GGA) for an optimized crystal structure of FeAg2P.

Results
formation enthalpy at 0 K	0.40	eV/atom
size of the total moment	2.95	μB per formula unit

abc: 2.8530 4.8052 4.6506
angles: 90.00 92.57 90.00
Last column: nearest neighbours and their distance in Å.
Space group P2/m (No. 10)
One atom of each set of equivalent atoms:
Fe: 0.0000 0.0000 0.0000  4 P 2.67-2.78, 4 Ag 2.79, 2 Fe 2.85
Ag: 0.2648 0.5000 0.7508  6 Ag 2.63-2.85, 2 P 2.77, 2 Fe 2.79
P: 0.5000 0.0000 0.5000  4 Fe 2.67-2.78, 4 Ag 2.77, 2 P 2.85



Density functional theory data (PBE-GGA) for an optimized crystal structure of FeAgP.

Results
formation enthalpy at 0 K	0.05	eV/atom
energy above the lowest structure with this stoichiometry	0.269	eV per atom
size of the total moment	0.00	μB per formula unit

abc: 2.8712 2.8712 10.1748
angles: 90.00 90.00 90.00
Last column: nearest neighbours and their distance in Å.
Space group I4mm (No. 107)
One atom of each set of equivalent atoms:
Fe: 0.0000 0.0000 0.0000  4 P 2.23
Ag: 0.0000 0.0000 0.2960  4 Ag 2.87, 5 Fe 2.90-3.01, 5 P 2.91-3.01
P: 0.0000 0.0000 0.5914  4 Fe 2.23



Density functional theory data (PBE-GGA) for an optimized crystal structure of FeAg2P.

Results
formation enthalpy at 0 K	0.46	eV/atom
size of the total moment	2.95	μB per formula unit

abc: 2.8601 2.8601 27.0038
angles: 90.00 90.00 120.00
Last column: nearest neighbours and their distance in Å.
Space group R-3m (No. 166, hexagonal axes)
One atom of each set of equivalent atoms:
Fe: 0.0000 0.0000 0.0000  6 Ag 2.79, 6 Fe 2.86
Ag: 0.0000 0.0000 0.2501  3 Fe 2.79, 3 P 2.79, 6 Ag 2.86
P: 0.0000 0.0000 0.5000  6 Ag 2.79, 6 P 2.86



Density functional theory data (PBE-GGA) for an optimized crystal structure of FeAgP2.

Results
formation enthalpy at 0 K	0.14	eV/atom
energy above the lowest structure with this stoichiometry	0.127	eV per atom
size of the total moment	0.00	μB per formula unit

abc: 5.5047 5.5047 9.9508
angles: 90.00 90.00 90.00
Last column: nearest neighbours and their distance in Å.
Space group I-42d (No. 122)
One atom of each set of equivalent atoms:
Fe: 0.0000 0.0000 0.0000  4 P 2.12
Ag: 0.0000 0.0000 0.5000  4 P 2.54
P: 0.1857 0.2500 0.1250  2 Fe 2.12